(1)
DFT (PBE) results for a geometry-optimized Tl3ClF7 structure.

Summary:
Raw formation energy, eV per formula unit: -17.32

Lattice parameters (Å, degrees): 7.4121 7.4121 5.6070 90.00 90.00 120.00
Closest atoms and distances in Å follow each position.
Sites, in units of the cell vectors:
Tl 0.1690 0.3380 0.0000  5 F 2.23-2.40
Tl 0.1690 0.8310 0.0000  5 F 2.23-2.40
Tl 0.6620 0.8310 0.0000  5 F 2.23-2.40
Cl 0.0000 0.0000 0.6940  3 Tl 2.77
F 0.0471 0.5235 0.8182  2 Tl 2.23
F 0.2800 0.1400 0.1768  2 Tl 2.24
F 0.3333 0.6667 0.2023  3 Tl 2.40
F 0.4765 0.5235 0.8182  2 Tl 2.23
F 0.4765 0.9529 0.8182  2 Tl 2.23
F 0.8600 0.1400 0.1768  2 Tl 2.24
F 0.8600 0.7200 0.1768  2 Tl 2.24

(2)
DFT (PBE) results for a geometry-optimized Th2GeIr6 structure.

Summary:
Formation energy from the elements, meV per atom: -649

Lattice parameters (Å, degrees): 5.5892 5.5892 6.2779 101.20 101.20 60.63
Closest atoms and distances in Å follow each position.
Sites, in units of the cell vectors:
Th 0.1426 0.1426 0.3435  8 Ir 2.93-3.27
Th 0.8574 0.8574 0.6565  8 Ir 2.93-3.27
Ge 0.5000 0.5000 0.5000  6 Ir 2.55-2.59
Ir 0.1010 0.6216 0.1836  1 Ge 2.59, 5 Ir 2.70-2.85
Ir 0.3784 0.8990 0.8164  1 Ge 2.59, 5 Ir 2.70-2.85
Ir 0.3886 0.3886 0.8314  1 Ge 2.55, 7 Ir 2.66-2.85
Ir 0.6114 0.6114 0.1686  1 Ge 2.55, 7 Ir 2.66-2.85
Ir 0.6216 0.1010 0.1836  1 Ge 2.59, 5 Ir 2.70-2.85
Ir 0.8990 0.3784 0.8164  1 Ge 2.59, 5 Ir 2.70-2.85

(3)
DFT (PBE) results for a geometry-optimized Y8Ho2Al structure.

Summary:
Formation energy from the elements, meV per atom: -46

Lattice parameters (Å, degrees): 9.9846 9.9846 6.4353 93.83 93.83 31.93
Closest atoms and distances in Å follow each position.
Sites, in units of the cell vectors:
Y 0.0429 0.0429 0.2526  2 Al 3.27, 5 Y 3.54-3.65
Y 0.1556 0.1556 0.8102  6 Y 3.36-3.69, 4 Ho 3.55-3.66
Y 0.3421 0.3421 0.8764  1 Al 3.08, 2 Y 3.41, 2 Ho 3.42
Y 0.4221 0.4221 0.3962  1 Al 3.04, 3 Y 3.19-3.36
Y 0.5779 0.5779 0.6038  1 Al 3.04, 3 Y 3.19-3.36
Y 0.6579 0.6579 0.1236  1 Al 3.08, 2 Y 3.41, 2 Ho 3.42
Y 0.8444 0.8444 0.1898  6 Y 3.36-3.69, 4 Ho 3.55-3.66
Y 0.9571 0.9571 0.7474  2 Al 3.27, 5 Y 3.54-3.65
Ho 0.2414 0.2414 0.3354  9 Y 3.42-3.81, 2 Ho 3.47
Ho 0.7586 0.7586 0.6646  9 Y 3.42-3.81, 2 Ho 3.47
Al 0.5000 0.5000 0.0000  8 Y 3.04-3.27

(4)
DFT (PBE) results for a geometry-optimized NbRuSe2Br structure.

Summary:
Raw formation energy, eV per formula unit: 3.24
Excess energy over the best structure of this formula in the dataset, eV/atom: 0.000

Lattice parameters (Å, degrees): 5.0456 5.0456 5.1392 90.00 90.00 90.00
Closest atoms and distances in Å follow each position.
Sites, in units of the cell vectors:
Nb 0.0000 0.0000 0.0000  4 Se 2.52, 2 Br 2.57
Ru 0.5000 0.5000 0.5000  4 Br 3.57, 8 Se 3.60
Se 0.0000 0.5000 0.0000  2 Nb 2.52
Se 0.5000 0.0000 0.0000  2 Nb 2.52
Br 0.0000 0.0000 0.5000  2 Nb 2.57